TlW2BrO: relaxed, PBE with a Hubbard U.

Output
ρ (g/cm3): 8.713
Uncorrected energy (eV per atom): -4.407
Space-group type: P4/mmm (123)

```
TlW2BrO
1.0
4.380 0.000 0.000
0.000 4.380 0.000
0.000 0.000 6.636
Tl W Br O
1 2 1 1
Direct
0.000 0.000 0.000
0.000 0.500 0.500
0.500 0.000 0.500
0.500 0.500 0.000
0.500 0.500 0.500
```